No. 1
The following is a DFT calculation (PBE) of a relaxed Pr6Er5Sc2 crystal.

Geometry as POSCAR:
```
Pr6Er5Sc2
1.0
3.5027 0.0000 0.0000
0.0000 10.8621 0.0000
0.0000 0.0000 22.5714
Er Pr Sc
10 12 4
Direct
0.5000 0.0000 0.5000
0.5000 0.5000 0.0000
0.5000 0.9149 0.7504
0.5000 0.8346 0.0074
0.5000 0.5851 0.2504
0.5000 0.1654 0.9926
0.5000 0.3346 0.4926
0.5000 0.6654 0.5074
0.5000 0.4149 0.7496
0.5000 0.0851 0.2496
0.5000 0.8343 0.3605
0.0000 0.9680 0.8872
0.0000 0.4680 0.6128
0.0000 0.1385 0.3845
0.5000 0.1657 0.6395
0.0000 0.8615 0.6155
0.0000 0.6385 0.1155
0.5000 0.6657 0.8605
0.5000 0.3343 0.1395
0.0000 0.3615 0.8845
0.0000 0.5320 0.3872
0.0000 0.0320 0.1128
0.0000 0.6650 0.7259
0.0000 0.8350 0.2259
0.0000 0.3350 0.2741
0.0000 0.1650 0.7741
```

Values from the calculation:
Magnetization (μB per cell): 0.00
Volume (Å³ per atom): 33.0
Total energy (eV/atom): -4.78
Energy of formation from the pure elements (eV/atom): 0.156

No. 2
The following is a DFT calculation (PBE) of a relaxed Li3Ca2Zn12Ag crystal.

Geometry as POSCAR:
```
Li3Ca2Zn12Ag
1.0
10.2602 2.3104 1.6388
7.0760 7.7807 1.6388
7.0760 4.1188 6.8014
Zn Li Ag Ca
12 3 1 2
Direct
0.5829 0.1874 0.5829
0.9029 0.3950 0.9029
0.5829 0.5829 0.1874
0.6050 0.0971 0.0971
0.1874 0.5829 0.5829
0.0971 0.0971 0.6050
0.4171 0.4171 0.8126
0.4171 0.8126 0.4171
0.9029 0.9029 0.3950
0.3950 0.9029 0.9029
0.0971 0.6050 0.0971
0.8126 0.4171 0.4171
0.5000 0.0000 0.0000
0.0000 0.0000 0.5000
0.0000 0.5000 0.0000
0.0000 0.0000 0.0000
0.3567 0.3567 0.3567
0.6433 0.6433 0.6433
```

Values from the calculation:
Magnetization (μB per cell): 0.00
Volume (Å³ per atom): 19.3
Total energy (eV/atom): -1.57
Energy of formation from the pure elements (eV/atom): -0.023

No. 3
The following is a DFT calculation (PBE) of a relaxed Sr2CrRe2N6 crystal.

Geometry as POSCAR:
```
Sr2CrRe2N6
1.0
5.7869 0.0000 0.0000
2.8935 5.0116 0.0000
2.8935 1.6705 6.0388
N Re Sr Cr
6 2 2 1
Direct
0.7738 0.7738 0.1968
0.7738 0.2556 0.1968
0.2556 0.7738 0.1968
0.2262 0.2262 0.8032
0.2262 0.7444 0.8032
0.7444 0.2262 0.8032
0.4278 0.4278 0.7167
0.5722 0.5722 0.2833
0.2494 0.2494 0.2518
0.7506 0.7506 0.7482
0.0000 0.0000 0.0000
```

Values from the calculation:
Magnetization (μB per cell): 2.02
Volume (Å³ per atom): 15.9
Formation energy from raw total energies (meV/atom): -452
Total energy (eV/atom): -8.44

No. 4
The following is a DFT calculation (PBE) of a relaxed ErTiPd2 crystal.

Geometry as POSCAR:
```
ErTiPd2
1.0
-0.8053 2.9088 1.1557
-3.3618 -2.0153 2.7298
3.1775 -0.5220 3.5279
Pd Er Ti
2 1 1
Direct
0.0000 0.0000 0.5000
0.0000 0.5000 0.0000
0.5000 0.5000 0.5000
0.5000 0.0000 0.0000
```

Values from the calculation:
Magnetization (μB per cell): 0.83
Volume (Å³ per atom): 18.4
Relative energy among the computed polymorphs (meV/atom): 44.8
Total energy (eV/atom): -6.33
Energy of formation from the pure elements (eV/atom): -0.615

No. 5
The following is a DFT calculation (PBE) of a relaxed K2BaInSb crystal.

Geometry as POSCAR:
```
K2BaInSb
1.0
-0.3127 5.1558 -4.0625
-4.0127 -2.6717 -3.0818
-4.6740 2.6807 3.7618
In Ba K Sb
1 1 2 1
Direct
0.0000 0.0000 0.0000
0.5000 0.5000 0.5000
0.5000 0.0000 0.0000
0.0000 0.0000 0.5000
0.0000 0.5000 0.0000
```

Values from the calculation:
Magnetization (μB per cell): 0.00
Volume (Å³ per atom): 49.4
Formation energy from raw total energies (meV/atom): 53
Total energy (eV/atom): -2.14

No. 6
The following is a DFT calculation (PBE) of a relaxed DySi2F8 crystal.

Geometry as POSCAR:
```
DySi2F8
1.0
5.6617 0.2273 0.1725
0.3921 5.6547 1.3054
0.3921 2.7798 5.0943
F Si Dy
8 2 1
Direct
0.8150 0.6399 0.6399
0.6307 0.0882 0.0882
0.3693 0.9118 0.9118
0.7840 0.6227 0.0957
0.2160 0.9043 0.3773
0.2160 0.3773 0.9043
0.1850 0.3601 0.3601
0.7840 0.0957 0.6227
0.6153 0.7805 0.7805
0.3847 0.2195 0.2195
0.0000 0.0000 0.0000
```

Values from the calculation:
Magnetization (μB per cell): 0.00
Volume (Å³ per atom): 12.9
Formation energy from raw total energies (meV/atom): -2874
Total energy (eV/atom): -5.64

No. 7
The following is a DFT calculation (PBE) of a relaxed CuSi2 crystal.

Geometry as POSCAR:
```
CuSi2
1.0
-0.8088 -0.0238 4.9207
-4.6517 0.3440 1.7639
-2.1481 -3.9510 2.1547
Cu Si
2 4
Direct
0.7500 0.7500 0.7500
0.5000 0.5000 0.5000
0.6250 0.1250 0.1250
0.1250 0.1250 0.1250
0.1250 0.6250 0.1250
0.1250 0.1250 0.6250
```

Values from the calculation:
Magnetization (μB per cell): 0.00
Volume (Å³ per atom): 14.6
Formation energy from raw total energies (meV/atom): 518
Total energy (eV/atom): -4.46

No. 8
The following is a DFT calculation (PBE) of a relaxed NaIn6Hg2 crystal.

Geometry as POSCAR:
```
NaIn6Hg2
1.0
8.6299 0.2752 0.9032
3.7268 6.7406 4.0529
0.1776 0.2752 8.6752
Hg In Na
4 12 2
Direct
0.6425 0.0594 0.8012
0.3575 0.9406 0.1988
0.1988 0.4406 0.3575
0.8012 0.5594 0.6425
0.9245 0.1883 0.5940
0.3285 0.9736 0.5542
0.0755 0.8117 0.4060
0.1806 0.8187 0.9888
0.4060 0.3117 0.0755
0.6715 0.0264 0.4458
0.5542 0.4736 0.3285
0.5940 0.6883 0.9245
0.4458 0.5264 0.6715
0.8194 0.1813 0.0112
0.9888 0.3187 0.1806
0.0112 0.6813 0.8194
0.7819 0.7500 0.2181
0.2181 0.2500 0.7819
```

Values from the calculation:
Magnetization (μB per cell): 0.00
Volume (Å³ per atom): 27.0
Relative energy among the computed polymorphs (meV/atom): 0.0
Total energy (eV/atom): -2.08
Energy of formation from the pure elements (eV/atom): -0.042

No. 9
The following is a DFT calculation (PBE) of a relaxed Rb2AlCd4 crystal.

Geometry as POSCAR:
```
Rb2AlCd4
1.0
-3.2800 -4.3233 0.0639
0.2212 -0.2479 -5.4169
5.9707 -7.9674 -2.1102
Cd Rb Al
4 2 1
Direct
0.1496 0.1496 0.7007
0.5000 0.0000 0.0000
0.8504 0.8504 0.2993
0.0000 0.5000 0.0000
0.6502 0.6502 0.6996
0.3498 0.3498 0.3004
0.0000 0.0000 0.0000
```

Values from the calculation:
Magnetization (μB per cell): 0.00
Volume (Å³ per atom): 39.7
Total energy (eV/atom): -1.22
Energy of formation from the pure elements (eV/atom): 0.117

No. 10
The following is a DFT calculation (PBE) of a relaxed CsInTe2 crystal.

Geometry as POSCAR:
```
CsInTe2
1.0
9.6266 0.0000 0.0000
0.0000 9.6266 0.0000
4.8133 4.8133 3.2805
Te In Cs
4 2 2
Direct
0.2500 0.2500 0.0000
0.7500 0.2500 0.0000
0.7500 0.7500 0.0000
0.2500 0.7500 0.0000
0.2500 0.2500 0.5000
0.7500 0.7500 0.5000
0.2500 0.7500 0.5000
0.7500 0.2500 0.5000
```

Values from the calculation:
Magnetization (μB per cell): 0.00
Volume (Å³ per atom): 38.0
Formation energy from raw total energies (meV/atom): -334
Total energy (eV/atom): -2.80

No. 11
The following is a DFT calculation (PBE) of a relaxed InCuIr2 crystal.

Geometry as POSCAR:
```
InCuIr2
1.0
-3.1059 -1.4322 -3.3314
1.9540 -3.7528 -2.2123
-0.6398 0.8496 4.6545
Ir Cu In
2 1 1
Direct
0.2500 0.7500 0.5000
0.0000 0.0000 0.0000
0.5000 0.5000 0.0000
0.7500 0.2500 0.5000
```

Values from the calculation:
Magnetization (μB per cell): 0.00
Volume (Å³ per atom): 15.5
Total energy (eV/atom): -5.97
Energy of formation from the pure elements (eV/atom): 0.168

No. 12
The following is a DFT calculation (PBE) of a relaxed CeErTe3 crystal.

Geometry as POSCAR:
```
CeErTe3
1.0
-4.2661 0.1926 -1.1052
-0.4751 -8.2505 0.3961
-4.2715 1.0462 16.6708
Ce Te Er
4 12 4
Direct
0.2500 0.6350 0.2992
0.7500 0.3650 0.7008
0.2500 0.1350 0.2008
0.7500 0.8650 0.7992
0.2500 0.0061 0.3945
0.2500 0.1544 0.7838
0.2500 0.6544 0.7162
0.2500 0.8794 0.9372
0.7500 0.6206 0.4372
0.7500 0.9939 0.6055
0.7500 0.3456 0.2838
0.7500 0.4939 0.8945
0.7500 0.8456 0.2162
0.2500 0.5061 0.1055
0.7500 0.1206 0.0628
0.2500 0.3794 0.5628
0.7500 0.7305 0.0426
0.2500 0.7695 0.5426
0.2500 0.2695 0.9574
0.7500 0.2305 0.4574
```

Values from the calculation:
Magnetization (μB per cell): 3.87
Volume (Å³ per atom): 31.5
Formation energy from raw total energies (meV/atom): -1361
Relative energy among the computed polymorphs (meV/atom): 4.7
Total energy (eV/atom): -5.35